No. 1
A plane-wave DFT calculation with GGA-PBE was carried out for a geometry-optimized NbSn3Ge structure.

Unit cell a=5.185 b=5.185 c=5.185 alpha=90.00 beta=90.00 gamma=90.00
Positions (direct):
Nb: 0.000 0.000 0.000
Sn: 0.000 0.500 0.500
Sn: 0.500 0.000 0.500
Sn: 0.500 0.500 0.000
Ge: 0.500 0.500 0.500

Values from the calculation:
Calculated volume (Å³/f.u.): 139.39
E_form (eV per formula unit): 5.8

***

No. 2
A plane-wave DFT calculation with GGA-PBE was carried out for a geometry-optimized Fe2HgCl6 structure.

Unit cell a=10.356 b=10.356 c=5.990 alpha=104.18 beta=104.18 gamma=72.16
Positions (direct):
Fe: 0.071 0.264 0.259
Fe: 0.264 0.071 0.759
Fe: 0.736 0.929 0.241
Fe: 0.929 0.736 0.741
Hg: 0.498 0.502 0.750
Hg: 0.502 0.498 0.250
Cl: 0.052 0.202 0.595
Cl: 0.138 0.681 0.930
Cl: 0.185 0.417 0.338
Cl: 0.202 0.052 0.095
Cl: 0.319 0.862 0.570
Cl: 0.417 0.185 0.838
Cl: 0.583 0.815 0.162
Cl: 0.681 0.138 0.430
Cl: 0.798 0.948 0.905
Cl: 0.815 0.583 0.662
Cl: 0.862 0.319 0.070
Cl: 0.948 0.798 0.405

Values from the calculation:
Calculated volume (Å³/f.u.): 291.41
Raw formation energy (meV per atom): -661

***

No. 3
A plane-wave DFT calculation with GGA-PBE was carried out for a geometry-optimized LiHg2Mo structure.

Unit cell a=9.233 b=2.820 c=5.905 alpha=90.00 beta=97.01 gamma=90.00
Positions (direct):
Li: 0.000 0.000 0.000
Li: 0.500 0.500 0.000
Hg: 0.249 0.000 0.753
Hg: 0.251 0.500 0.247
Hg: 0.749 0.500 0.753
Hg: 0.751 0.000 0.247
Mo: 0.000 0.500 0.500
Mo: 0.500 0.000 0.500

Values from the calculation:
Calculated volume (Å³/f.u.): 76.30
E_form (eV per formula unit): 1.7

***

No. 4
A plane-wave DFT calculation with GGA-PBE was carried out for a geometry-optimized Th6Ge3BiP2 structure.

Unit cell a=9.598 b=9.598 c=8.635 alpha=102.50 beta=102.50 gamma=25.87
Positions (direct):
Th: 0.005 0.005 0.271
Th: 0.325 0.325 0.907
Th: 0.331 0.331 0.420
Th: 0.669 0.669 0.580
Th: 0.675 0.675 0.093
Th: 0.995 0.995 0.729
Ge: 0.162 0.162 0.832
Ge: 0.500 0.500 0.500
Ge: 0.838 0.838 0.168
Bi: 0.500 0.500 0.000
P: 0.169 0.169 0.335
P: 0.831 0.831 0.665

Values from the calculation:
Calculated volume (Å³/f.u.): 338.44
E_form (eV per formula unit): -11.7

***

No. 5
A plane-wave DFT calculation with GGA-PBE was carried out for a geometry-optimized HfTiH structure.

Unit cell a=10.712 b=3.542 c=4.998 alpha=90.00 beta=116.95 gamma=90.00
Positions (direct):
Hf: 0.105 0.000 0.332
Hf: 0.395 0.500 0.668
Hf: 0.605 0.500 0.332
Hf: 0.895 0.000 0.668
Ti: 0.146 0.500 0.853
Ti: 0.354 0.000 0.147
Ti: 0.646 0.000 0.853
Ti: 0.854 0.500 0.147
H: 0.185 0.500 0.526
H: 0.315 0.000 0.474
H: 0.685 0.000 0.526
H: 0.815 0.500 0.474

Values from the calculation:
Calculated volume (Å³/f.u.): 42.27
Final energy (eV per atom): -7.24

***

No. 6
A plane-wave DFT calculation with GGA-PBE was carried out for a geometry-optimized SrDyAlTl structure.

Unit cell a=7.717 b=7.717 c=7.717 alpha=90.00 beta=90.00 gamma=90.00
Positions (direct):
Sr: 0.000 0.000 0.000
Sr: 0.000 0.500 0.500
Sr: 0.500 0.000 0.500
Sr: 0.500 0.500 0.000
Dy: 0.000 0.000 0.500
Dy: 0.000 0.500 0.000
Dy: 0.500 0.000 0.000
Dy: 0.500 0.500 0.500
Al: 0.250 0.250 0.750
Al: 0.250 0.750 0.250
Al: 0.750 0.250 0.250
Al: 0.750 0.750 0.750
Tl: 0.250 0.250 0.250
Tl: 0.250 0.750 0.750
Tl: 0.750 0.250 0.750
Tl: 0.750 0.750 0.250

Values from the calculation:
Calculated volume (Å³/f.u.): 114.88
E_form (eV per formula unit): -0.9

***

No. 7
A plane-wave DFT calculation with GGA-PBE was carried out for a geometry-optimized Al2Se3 structure.

Unit cell a=6.076 b=7.327 c=8.588 alpha=88.95 beta=89.83 gamma=67.52
Positions (direct):
Al: 0.000 0.000 0.000
Al: 0.017 0.753 0.693
Al: 0.485 0.209 0.694
Al: 0.506 0.948 0.000
Se: 0.250 0.485 0.547
Se: 0.251 0.979 0.771
Se: 0.254 0.969 0.212
Se: 0.594 0.250 0.965
Se: 0.750 0.985 0.524
Se: 0.911 0.699 0.965

Values from the calculation:
Calculated volume (Å³/f.u.): 176.59
Raw formation energy (meV per atom): -765

***

No. 8
A plane-wave DFT calculation with GGA-PBE was carried out for a geometry-optimized LaPmRh2 structure.

Unit cell a=7.115 b=7.115 c=7.115 alpha=90.00 beta=90.00 gamma=90.00
Positions (direct):
La: 0.000 0.000 0.000
La: 0.000 0.500 0.500
La: 0.500 0.000 0.500
La: 0.500 0.500 0.000
Pm: 0.000 0.000 0.500
Pm: 0.000 0.500 0.000
Pm: 0.500 0.000 0.000
Pm: 0.500 0.500 0.500
Rh: 0.250 0.250 0.250
Rh: 0.250 0.250 0.750
Rh: 0.250 0.750 0.250
Rh: 0.250 0.750 0.750
Rh: 0.750 0.250 0.250
Rh: 0.750 0.250 0.750
Rh: 0.750 0.750 0.250
Rh: 0.750 0.750 0.750

Values from the calculation:
Calculated volume (Å³/f.u.): 90.05
E_form (eV per formula unit): -2.6